Entry 1:
This record from Alexandria describes a geometry-optimized ZrTcC2 structure. The functional is PBE-GGA.

Cell and atoms, written as POSCAR:
```
ZrTcC2
1.0
3.232 0.000 0.000
-1.616 2.799 0.000
0.000 0.000 15.227
Zr Tc C
3 3 6
Cartesian
0.000 0.000 0.000 Zr
0.000 1.866 10.151 Zr
1.616 0.933 5.076 Zr
0.000 0.000 7.613 Tc
0.000 1.866 2.538 Tc
1.616 0.933 12.689 Tc
0.000 0.000 3.703 C
0.000 0.000 11.524 C
0.000 1.866 6.448 C
0.000 1.866 13.854 C
1.616 0.933 1.373 C
1.616 0.933 8.778 C
```

Computed properties:
The relative energy among the computed polymorphs is 0 meV per atom. For the total magnetic moment, the calculation gives 1.6 μB/cell. The calculation puts the total DFT energy (no corrections) at -9.4604 eV per atom. The density of states at the Fermi level comes out at 0.51 states/eV per atom.



Entry 2:
This record from Alexandria describes a geometry-optimized MgTlMoIr2 structure. The functional is PBE-GGA.

Cell and atoms, written as POSCAR:
```
MgTlMoIr2
1.0
4.998 0.000 0.000
0.000 4.998 0.000
0.000 0.000 5.102
Mg Tl Mo Ir
1 1 1 2
Cartesian
0.000 0.000 0.000 Mg
2.499 2.499 2.551 Tl
2.499 2.499 0.000 Mo
0.000 2.499 2.551 Ir
2.499 0.000 2.551 Ir
```

Computed properties:
For the total magnetic moment, the calculation gives 4.4 μB/cell. The calculation puts the total DFT energy (no corrections) at -4.4614 eV per atom. The density of states at the Fermi level comes out at 1.05 states/eV per atom.



no.,mass density (g/cm³)
1,7.7
2,9.2